Density functional theory data (PBE-GGA) for a geometry-optimized CsScI2Br structure.

Properties
Total energy = -3.73 eV per atom

Cell: 5.984 5.984 5.458 Å, 90.00 90.00 90.00°
Space group P4/mmm (No. 123)
Inequivalent atoms, fractional coordinates:
Cs 0.000 0.000 0.000 [1 per cell]
Sc 0.500 0.500 0.500 [1 per cell]
I 0.000 0.500 0.500 [2 per cell]
Br 0.500 0.500 0.000 [1 per cell]